[1]
A plane-wave DFT calculation with PBE-GGA was carried out for an optimized crystal structure of HgMoSe2.

Summary:
Total magnetization ... 0.01 μB per cell
Uncorrected formation energy ... 0.167 eV per atom
Final energy ... -4.3585 eV per atom

Unit cell a=3.0548 b=3.0548 c=9.0889 alpha=90.00 beta=90.00 gamma=90.00
Element x y z (fractional)
Hg 0.0000 0.0000 0.0000
Mo 0.5000 0.5000 0.2293
Se 0.0000 0.0000 0.3861
Se 0.5000 0.5000 0.7256



[2]
A plane-wave DFT calculation with PBE-GGA was carried out for an optimized crystal structure of CsNpRhO6.

Summary:
Total magnetization ... 0.67 μB per cell
Uncorrected formation energy ... -1.841 eV per atom
Final energy ... -7.4965 eV per atom

Unit cell a=7.5331 b=7.5331 c=7.5331 alpha=122.46 beta=116.89 gamma=90.63
Element x y z (fractional)
Cs 0.3654 0.1154 0.2500
Cs 0.6346 0.8846 0.7500
Np 0.0000 0.5000 0.5000
Np 0.5000 0.5000 0.0000
Rh 0.0000 0.0000 0.5000
Rh 0.0000 0.5000 0.0000
O 0.0549 0.4285 0.2389
O 0.0549 0.8160 0.6264
O 0.0636 0.8136 0.2500
O 0.3104 0.1840 0.7389
O 0.3104 0.5715 0.1264
O 0.3257 0.5757 0.7500
O 0.6743 0.4243 0.2500
O 0.6896 0.4285 0.8736
O 0.6896 0.8160 0.2611
O 0.9364 0.1864 0.7500
O 0.9451 0.1840 0.3736
O 0.9451 0.5715 0.7611



[3]
A plane-wave DFT calculation with PBE-GGA was carried out for an optimized crystal structure of AcTbPr2Sb4.

Summary:
Total magnetization ... 0.00 μB per cell
Uncorrected formation energy ... -1.160 eV per atom
Final energy ... -5.5083 eV per atom

Unit cell a=7.9370 b=4.5879 c=7.9428 alpha=90.00 beta=109.41 gamma=90.00
Element x y z (fractional)
Ac 0.0000 0.0000 0.0000
Tb 0.5000 0.5000 0.0000
Pr 0.0000 0.5000 0.5000
Pr 0.5000 0.0000 0.5000
Sb 0.2606 0.0000 0.7524
Sb 0.2619 0.5000 0.2550
Sb 0.7381 0.5000 0.7450
Sb 0.7394 0.0000 0.2476